No. 1
Here is a relaxed Th4ZrSc5 crystal from Alexandria via LeMat-Bulk. Energies are from PBE-GGA.

Values from the calculation:
Its crystal system is monoclinic. The space-group type is C2/m (12).

Unit cell a=3.341 b=10.729 c=8.190 alpha=88.43 beta=101.77 gamma=90.00
Atoms (fractional coordinates):
Sc (0.170, 0.536, 0.340)
Th (0.026, 0.752, 0.052)
Zr (0.500, 0.000, 0.000)
Th (0.974, 0.248, 0.948)
Sc (0.830, 0.464, 0.660)
Sc (0.500, 0.500, 0.000)
Sc (0.834, 0.028, 0.667)
Th (0.326, 0.747, 0.652)
Sc (0.166, 0.972, 0.333)
Th (0.674, 0.253, 0.348)


No. 2
Here is a relaxed ThZr2Sc crystal from Alexandria via LeMat-Bulk. Energies are from PBE-GGA.

Values from the calculation:
Its crystal system is monoclinic. For the energy above the most stable polymorph in this dataset, the calculation gives 42 meV/atom. The space-group type is P2/m (10).

Unit cell a=3.790 b=8.046 c=8.363 alpha=69.49 beta=90.00 gamma=61.89
Atoms (fractional coordinates):
Th (0.000, 0.500, 0.500)
Th (0.500, 0.000, 0.500)
Zr (0.710, 0.790, 0.978)
Sc (0.412, 0.588, 0.785)
Sc (0.588, 0.412, 0.215)
Zr (0.147, 0.853, 0.235)
Zr (0.853, 0.147, 0.765)
Zr (0.290, 0.210, 0.022)


No. 3
Here is a relaxed Th2ZrSc6 crystal from Alexandria via LeMat-Bulk. Energies are from PBE-GGA.

Values from the calculation:
Its crystal system is cubic. For the energy above the most stable polymorph in this dataset, the calculation gives 244 meV/atom. The space-group type is Fm-3m (225).

Unit cell a=7.041 b=7.041 c=7.041 alpha=120.04 beta=119.96 gamma=90.00
Atoms (fractional coordinates):
Sc (0.276, 0.724, 0.000)
Th (0.750, 0.250, 0.500)
Zr (0.000, 0.000, 0.000)
Sc (0.724, 0.724, 0.448)
Sc (0.724, 0.724, 0.000)
Sc (0.724, 0.276, 0.000)
Sc (0.276, 0.276, 0.000)
Th (0.250, 0.750, 0.500)
Sc (0.276, 0.276, 0.552)


no.,formation energy from the elements (eV/atom),calculated volume (Å³ per atom)
1,0.2425,28.73
2,0.0800,25.81
3,0.3300,27.43